(1)
Density functional theory data (GGA-PBE) for a relaxed HAu crystal.

Calculated values
SG: Fddd (70)
Total energy: -2.988 eV per atom

a b c (Å): 3.305 11.186 10.465
angles (deg): 90.00 90.00 90.00
Sites, in units of the cell vectors:
Au 0.500 0.866 0.500
Au 0.500 0.134 0.500
Au 0.750 0.884 0.750
Au 0.000 0.134 0.000
Au 0.500 0.634 0.000
Au 0.000 0.866 0.000
Au 0.750 0.116 0.250
Au 0.250 0.116 0.750
Au 0.500 0.366 0.000
Au 0.250 0.616 0.250
Au 0.750 0.616 0.750
Au 0.250 0.384 0.750
Au 0.750 0.384 0.250
Au 0.000 0.634 0.500
Au 0.000 0.366 0.500
Au 0.250 0.884 0.250
H 0.750 0.750 0.621
H 0.250 0.750 0.379
H 0.000 0.000 0.871
H 0.750 0.250 0.121
H 0.250 0.250 0.879
H 0.000 0.500 0.629
H 0.000 0.500 0.371
H 0.500 0.500 0.129
H 0.000 0.000 0.129
H 0.500 0.000 0.371
H 0.250 0.750 0.121
H 0.500 0.500 0.871
H 0.750 0.250 0.379
H 0.250 0.250 0.621
H 0.500 0.000 0.629
H 0.750 0.750 0.879

(2)
Density functional theory data (GGA-PBE) for a relaxed Li6CdPt2 crystal.

Calculated values
SG: C2/m (12)
Energy above the lowest structure with this stoichiometry: 0.000 eV per atom
ΔE_f: -0.404 eV/atom

a b c (Å): 2.679 8.052 8.052
angles (deg): 56.44 109.13 109.13
Sites, in units of the cell vectors:
Li 0.158 0.654 0.000
Li 0.842 0.000 0.346
Li 0.158 0.000 0.654
Li 0.842 0.346 0.000
Li 0.500 0.346 0.654
Li 0.500 0.654 0.346
Cd 0.000 0.000 0.000
Pt 0.666 0.333 0.333
Pt 0.334 0.667 0.667

(3)
Density functional theory data (GGA-PBE) for a relaxed Ho2ScIn crystal.

Calculated values
SG: P4/mmm (123)
Energy above the lowest structure with this stoichiometry: 0.043 eV per atom
ΔE_f: -0.216 eV/atom

a b c (Å): 3.521 3.521 8.828
angles (deg): 90.00 90.00 90.00
Sites, in units of the cell vectors:
In 0.500 0.500 0.000
Sc 0.500 0.500 0.500
Ho 0.000 0.000 0.241
Ho 0.000 0.000 0.759

(4)
Density functional theory data (GGA-PBE) for a relaxed Y2MgBePd6 crystal.

Calculated values
SG: C2/m (12)
ΔE_f: -0.632 eV/atom

a b c (Å): 5.764 7.254 7.287
angles (deg): 46.49 66.69 89.98
Sites, in units of the cell vectors:
Pd 0.676 0.186 0.167
Pd 0.712 0.651 0.575
Pd 0.288 0.349 0.425
Pd 0.157 0.186 0.168
Pd 0.324 0.814 0.833
Pd 0.843 0.814 0.832
Y 0.226 0.668 0.548
Y 0.774 0.332 0.452
Be 0.500 0.500 0.000
Mg 0.000 0.000 0.000

(5)
Density functional theory data (GGA-PBE) for a relaxed HoThSb2 crystal.

Calculated values
SG: R3m (160)
Energy above the lowest structure with this stoichiometry: 0.108 eV per atom

a b c (Å): 4.385 4.385 7.988
angles (deg): 74.07 74.07 60.00
Sites, in units of the cell vectors:
Th 0.669 0.669 0.992
Sb 0.086 0.086 0.743
Sb 0.248 0.248 0.255
Ho 0.497 0.497 0.510

(6)
Density functional theory data (GGA-PBE) for a relaxed PaFeH crystal.

Calculated values
SG: P-1 (2)
Energy above the lowest structure with this stoichiometry: 0.000 eV per atom

a b c (Å): 3.886 3.922 5.821
angles (deg): 90.82 107.95 76.92
Sites, in units of the cell vectors:
Fe 0.933 0.199 0.074
Fe 0.690 0.733 0.719
H 0.731 0.182 0.280
H 0.893 0.750 0.513
Pa 0.404 0.741 0.156
Pa 0.219 0.192 0.637

(7)
Density functional theory data (GGA-PBE) for a relaxed TlWAu crystal.

Calculated values
SG: P3m1 (156)
Energy above the lowest structure with this stoichiometry: 0.004 eV per atom
ΔE_f: 0.665 eV/atom

a b c (Å): 3.014 3.014 7.361
angles (deg): 90.00 90.00 120.00
Sites, in units of the cell vectors:
Au 0.000 0.000 0.981
Tl 0.667 0.333 0.339
W 0.333 0.667 0.681

(8)
Density functional theory data (GGA-PBE) for a relaxed Ce2Mg3Pb4 crystal.

Calculated values
SG: Cmce (64)
ΔE_f: -0.263 eV/atom

a b c (Å): 6.621 8.803 9.058
angles (deg): 90.00 111.44 90.00
Sites, in units of the cell vectors:
Mg 0.465 0.250 0.430
Mg 0.535 0.750 0.570
Mg 0.000 0.000 0.000
Mg 0.500 0.500 0.000
Mg 0.035 0.750 0.570
Mg 0.965 0.250 0.430
Pb 0.182 0.947 0.365
Pb 0.818 0.053 0.635
Pb 0.207 0.750 0.914
Pb 0.318 0.447 0.635
Pb 0.682 0.553 0.365
Pb 0.707 0.750 0.914
Pb 0.293 0.250 0.086
Pb 0.793 0.250 0.086
Ce 0.615 0.919 0.230
Ce 0.115 0.581 0.230
Ce 0.385 0.081 0.770
Ce 0.885 0.419 0.770

(9)
Density functional theory data (GGA-PBE) for a relaxed Na2SnAs2 crystal.

Calculated values
SG: I4_1/acd (142)
Energy above the lowest structure with this stoichiometry: 0.000 eV per atom
ΔE_f: -0.356 eV/atom

a b c (Å): 14.339 14.806 14.339
angles (deg): 61.04 90.00 118.96
Sites, in units of the cell vectors:
Sn 0.812 0.862 0.152
Sn 0.700 0.638 0.764
Sn 0.598 0.362 0.700
Sn 0.550 0.862 0.652
Sn 0.486 0.138 0.550
Sn 0.200 0.638 0.098
Sn 0.438 0.638 0.264
Sn 0.098 0.362 0.438
Sn 0.050 0.862 0.986
Sn 0.312 0.862 0.486
Sn 0.652 0.138 0.312
Sn 0.264 0.362 0.200
Sn 0.938 0.638 0.598
Sn 0.152 0.138 0.050
Sn 0.986 0.138 0.812
Sn 0.764 0.362 0.938
As 0.785 0.506 0.533
As 0.533 0.494 0.721
As 0.529 0.994 0.717
As 0.465 0.994 0.290
As 0.398 0.797 0.102
As 0.602 0.203 0.898
As 0.221 0.506 0.033
As 0.721 0.506 0.960
As 0.310 0.250 0.125
As 0.898 0.797 0.602
As 0.029 0.994 0.790
As 0.148 0.297 0.852
As 0.033 0.494 0.285
As 0.717 0.006 0.465
As 0.852 0.703 0.148
As 0.810 0.250 0.125
As 0.125 0.750 0.940
As 0.125 0.750 0.440
As 0.648 0.297 0.352
As 0.440 0.250 0.625
As 0.940 0.250 0.625
As 0.217 0.006 0.029
As 0.460 0.494 0.221
As 0.960 0.494 0.785
As 0.625 0.750 0.310
As 0.290 0.006 0.529
As 0.352 0.703 0.648
As 0.285 0.506 0.460
As 0.625 0.750 0.810
As 0.965 0.994 0.217
As 0.102 0.203 0.398
As 0.790 0.006 0.965
Na 0.101 0.000 0.601
Na 0.851 0.500 0.351
Na 0.351 0.500 0.649
Na 0.752 0.187 0.526
Na 0.287 0.813 0.752
Na 0.724 0.687 0.498
Na 0.815 0.313 0.724
Na 0.463 0.687 0.998
Na 0.601 0.000 0.899
Na 0.252 0.187 0.787
Na 0.899 0.000 0.399
Na 0.149 0.500 0.851
Na 0.935 0.187 0.026
Na 0.399 0.000 0.101
Na 0.350 0.000 0.850
Na 0.650 0.000 0.150
Na 0.315 0.313 0.463
Na 0.224 0.687 0.315
Na 0.998 0.313 0.224
Na 0.850 0.000 0.650
Na 0.787 0.813 0.935
Na 0.649 0.500 0.149
Na 0.150 0.000 0.350
Na 0.498 0.313 0.963
Na 0.963 0.687 0.815
Na 0.526 0.813 0.435
Na 0.026 0.813 0.252
Na 0.400 0.500 0.900
Na 0.600 0.500 0.400
Na 0.100 0.500 0.600
Na 0.900 0.500 0.100
Na 0.435 0.187 0.287

(10)
Density functional theory data (GGA-PBE) for a relaxed PmPr4Si2 crystal.

Calculated values
SG: R-3m (166)
Total energy: -5.217 eV per atom

a b c (Å): 5.009 5.009 10.644
angles (deg): 76.39 76.39 60.00
Sites, in units of the cell vectors:
Pr 0.896 0.896 0.312
Pr 0.299 0.299 0.103
Pr 0.701 0.701 0.897
Pr 0.104 0.104 0.688
Si 0.400 0.400 0.799
Si 0.600 0.600 0.201
Pm 0.500 0.500 0.500

(11)
Density functional theory data (GGA-PBE) for a relaxed BaPPtO2 crystal.

Calculated values
SG: P4/mmm (123)
Energy above the lowest structure with this stoichiometry: 1.223 eV per atom

a b c (Å): 4.212 4.212 7.819
angles (deg): 90.00 90.00 90.00
Sites, in units of the cell vectors:
P 0.000 0.000 0.500
Ba 0.000 0.000 0.000
O 0.500 0.000 0.000
O 0.000 0.500 0.000
Pt 0.500 0.500 0.500

(12)
Density functional theory data (GGA-PBE) for a relaxed CdPCl crystal.

Calculated values
SG: Cmcm (63)
Energy above the lowest structure with this stoichiometry: 0.000 eV per atom

a b c (Å): 3.665 4.387 11.391
angles (deg): 78.89 71.23 90.00
Sites, in units of the cell vectors:
Cd 0.744 0.796 0.601
Cd 0.850 0.598 0.995
Cl 0.188 0.517 0.157
Cl 0.406 0.875 0.439
P 0.983 0.165 0.861
P 0.611 0.229 0.734

| no. | total moment (μB per cell) |
| --- | --- |
| 1 | 0.0 |
| 2 | 0.0 |
| 3 | 0.0 |
| 4 | 0.0 |
| 5 | 0.0 |
| 6 | 0.0 |
| 7 | 0.0 |
| 8 | 3.0 |
| 9 | 0.0 |
| 10 | 0.0 |
| 11 | 0.2 |
| 12 | 0.0 |